CaCo6O2F10 | PBE+U | relaxed

Output
- Crystal system: triclinic
- SG: P1
- Distance to the lowest polymorph of the same formula: 111 meV/atom

Geometry as POSCAR:
```
CaCo6O2F10
1.0
5.0694 0.0000 0.0000
0.8325 5.3293 0.0000
0.2997 0.3034 9.2021
Ca Co O F
1 6 2 10
direct
0.0000 0.0000 0.0000
0.0027 0.5018 0.1922
0.0801 0.5621 0.5223
0.4706 0.0459 0.6741
0.5132 0.5208 0.0017
0.5545 0.0402 0.3577
0.9868 0.5164 0.8218
0.2098 0.3489 0.6801
0.8337 0.6520 0.0097
0.2333 0.3317 0.3534
0.2509 0.2925 0.0357
0.3054 0.7445 0.1493
0.3218 0.8155 0.8425
0.3371 0.8497 0.5003
0.6910 0.2072 0.5177
0.7022 0.2643 0.8636
0.7539 0.2124 0.1903
0.8227 0.7721 0.6726
0.8452 0.7293 0.3534
```